A plane-wave DFT calculation with PBE+U was carried out for SrVAg2O4 after structural relaxation.

Summary:
**Spin magnetization**: 0.00 μB per formula unit
**VASP energy**: -5.76 eV/atom

Cell and atoms, written as extended XYZ:
```
8
Lattice="0.000 3.646 5.315 3.641 0.000 5.315 3.641 3.646 0.000" Properties=species:S:1:pos:R:3 pbc="T T T"
Sr 0.000 0.000 0.000
V 3.641 3.646 5.322
Ag 1.820 1.823 2.661
Ag 5.461 5.469 7.976
O 3.641 2.214 4.294
O 5.074 3.646 6.349
O 3.641 5.078 4.294
O 2.208 3.646 6.349
```